# RbFe3Tc | the Alexandria database | PBE-GGA | optimized geometry
# Energy, eV per atom: -5.961
# DOS at the Fermi energy, states/eV/f.u.: 6.3
# ΔE_f, eV/atom: 1.3833
data_RbFe3Tc
_cell_length_a 4.772
_cell_length_b 4.772
_cell_length_c 4.772
_cell_angle_alpha 90.00
_cell_angle_beta 90.00
_cell_angle_gamma 90.00
_space_group_name_H-M_alt 'P m -3 m'
_space_group_IT_number 221
_space_group_name_Hall '-P 4 2 3'
loop_
_atom_site_label
_atom_site_fract_x
_atom_site_fract_y
_atom_site_fract_z
_atom_site_occupancy
Rb1 0.000 0.000 0.000 1
Fe1 0.000 0.500 0.500 1
Tc1 0.500 0.500 0.500 1